Entry 1:
Computed, not measured: a PBEsol-optimized structure of HfTaPS2 at the meta-GGA SCAN level of DFT.

a = 4.708 Å, b = 4.708 Å, c = 4.931 Å
α = 90.00°, β = 90.00°, γ = 90.00°
Element x y z (fractional)
1 Hf 0.000 0.000 0.000
2 Ta 0.500 0.500 0.500
3 P 0.000 0.000 0.500
4 S 0.000 0.500 0.000
5 S 0.500 0.000 0.000

E: -157.1 eV/cell
Fermi-level density of states: 0.47 states/eV per atom
SG: P4/mmm

Entry 2:
Computed, not measured: a PBEsol-optimized structure of AlPIrCl2 at the meta-GGA SCAN level of DFT.

a = 4.330 Å, b = 4.330 Å, c = 5.041 Å
α = 90.00°, β = 90.00°, γ = 90.00°
Element x y z (fractional)
1 Al 0.000 0.000 0.000
2 P 0.000 0.000 0.500
3 Ir 0.500 0.500 0.500
4 Cl 0.000 0.500 0.000
5 Cl 0.500 0.000 0.000

E: -102.4 eV/cell
Fermi-level density of states: 0.37 states/eV per atom
SG: P4/mmm

Entry 3:
Computed, not measured: a PBEsol-optimized structure of VSbO4 at the meta-GGA SCAN level of DFT.

a = 5.562 Å, b = 5.562 Å, c = 5.562 Å
α = 108.21°, β = 108.21°, γ = 112.03°
Element x y z (fractional)
1 V 0.000 0.000 0.000
2 V 0.750 0.250 0.500
3 Sb 0.237 0.737 0.500
4 Sb 0.487 0.487 0.000
5 O 0.040 0.238 0.802
6 O 0.436 0.238 0.198
7 O 0.493 0.184 0.691
8 O 0.493 0.802 0.309
9 O 0.552 0.743 0.809
10 O 0.934 0.743 0.191
11 O 0.988 0.290 0.302
12 O 0.988 0.686 0.698

E: -184.3 eV/cell
Fermi-level density of states: 0.13 states/eV per atom
SG: I4_1md

Entry 4:
Computed, not measured: a PBEsol-optimized structure of BeAgAu2 at the meta-GGA SCAN level of DFT.

a = 4.609 Å, b = 4.609 Å, c = 4.609 Å
α = 127.08°, β = 127.08°, γ = 78.12°
Element x y z (fractional)
1 Be 0.000 0.000 0.000
2 Ag 0.500 0.500 0.000
3 Au 0.250 0.750 0.500
4 Au 0.750 0.250 0.500

Fermi-level density of states: 0.33 states/eV per atom
formation enthalpy at 0 K: 0.001 eV per atom
SG: I4/mmm

Entry 5:
Computed, not measured: a PBEsol-optimized structure of InSnB3 at the meta-GGA SCAN level of DFT.

a = 4.498 Å, b = 4.498 Å, c = 4.498 Å
α = 90.00°, β = 90.00°, γ = 90.00°
Element x y z (fractional)
1 In 0.000 0.000 0.000
2 Sn 0.500 0.500 0.500
3 B 0.000 0.500 0.500
4 B 0.500 0.000 0.500
5 B 0.500 0.500 0.000

Fermi-level density of states: 0.55 states/eV per atom
formation enthalpy at 0 K: 2.108 eV per atom
SG: Pm-3m

Entry 6:
Computed, not measured: a PBEsol-optimized structure of Ba2InRh2 at the meta-GGA SCAN level of DFT.

a = 10.856 Å, b = 10.856 Å, c = 10.856 Å
α = 160.78°, β = 160.78°, γ = 27.32°
Element x y z (fractional)
1 Ba 0.124 0.124 0.000
2 Ba 0.876 0.876 0.000
3 In 0.500 0.500 0.000
4 Rh 0.250 0.750 0.500
5 Rh 0.750 0.250 0.500

Fermi-level density of states: 0.88 states/eV per atom
formation enthalpy at 0 K: -0.031 eV per atom
SG: I4/mmm

Entry 7:
Computed, not measured: a PBEsol-optimized structure of Na3LiSc at the meta-GGA SCAN level of DFT.

a = 6.165 Å, b = 6.165 Å, c = 6.165 Å
α = 90.00°, β = 90.00°, γ = 90.00°
Element x y z (fractional)
1 Na 0.000 0.000 0.500
2 Na 0.000 0.500 0.000
3 Na 0.500 0.000 0.000
4 Li 0.500 0.500 0.500
5 Sc 0.000 0.000 0.000

Fermi-level density of states: 1.06 states/eV per atom
formation enthalpy at 0 K: 0.842 eV per atom
SG: Pm-3m

Entry 8:
Computed, not measured: a PBEsol-optimized structure of CaZr2Pt at the meta-GGA SCAN level of DFT.

a = 4.888 Å, b = 4.888 Å, c = 4.888 Å
α = 60.00°, β = 60.00°, γ = 60.00°
Element x y z (fractional)
1 Ca 0.000 0.000 0.000
2 Zr 0.500 0.500 0.500
3 Zr 0.750 0.750 0.750
4 Pt 0.250 0.250 0.250

offset from the most stable computed form: 0.010 eV per atom
Fermi-level density of states: 0.96 states/eV per atom
formation enthalpy at 0 K: -0.226 eV per atom
SG: F-43m

Entry 9:
Computed, not measured: a PBEsol-optimized structure of BaSi3Os at the meta-GGA SCAN level of DFT.

a = 4.742 Å, b = 4.742 Å, c = 4.742 Å
α = 90.00°, β = 90.00°, γ = 90.00°
Element x y z (fractional)
1 Ba 0.000 0.000 0.000
2 Si 0.000 0.500 0.500
3 Si 0.500 0.000 0.500
4 Si 0.500 0.500 0.000
5 Os 0.500 0.500 0.500

E: -140.4 eV/cell
Fermi-level density of states: 1.34 states/eV per atom
SG: Pm-3m

Entry 10:
Computed, not measured: a PBEsol-optimized structure of Cu3Ag at the meta-GGA SCAN level of DFT.

a = 4.515 Å, b = 4.515 Å, c = 4.540 Å
α = 100.58°, β = 100.58°, γ = 34.02°
Element x y z (fractional)
1 Cu 0.000 0.000 0.000
2 Cu 0.256 0.256 0.765
3 Cu 0.744 0.744 0.235
4 Ag 0.500 0.500 0.500

Fermi-level density of states: 0.27 states/eV per atom
formation enthalpy at 0 K: 0.108 eV per atom
SG: C2/m

Entry 11:
Computed, not measured: a PBEsol-optimized structure of ScRe2Sb at the meta-GGA SCAN level of DFT.

a = 4.423 Å, b = 4.423 Å, c = 3.381 Å
α = 90.00°, β = 90.00°, γ = 90.00°
Element x y z (fractional)
1 Sc 0.000 0.000 0.000
2 Re 0.000 0.500 0.500
3 Re 0.500 0.000 0.500
4 Sb 0.500 0.500 0.000

E: -193.1 eV/cell
Fermi-level density of states: 0.97 states/eV per atom
SG: P4/mmm

Entry 12:
Computed, not measured: a PBEsol-optimized structure of MnRu2Pb at the meta-GGA SCAN level of DFT.

a = 2.909 Å, b = 3.830 Å, c = 5.591 Å
α = 90.00°, β = 90.00°, γ = 90.00°
Element x y z (fractional)
1 Mn 0.000 0.000 0.000
2 Ru 0.000 0.000 0.570
3 Ru 0.500 0.500 0.793
4 Pb 0.500 0.500 0.291

Fermi-level density of states: 0.80 states/eV per atom
formation enthalpy at 0 K: 0.307 eV per atom
SG: Pmm2